Below is crystalline HfZn2TcF at its relaxed geometry, with properties calculated at the PBE level.

Computed properties:
- spin magnetization (μB/cell) = 0.000
- E_form (uncorrected) (eV/atom) = -0.060

POSCAR file:
```
HfZn2TcF
1.0
-1.9094 2.8667 2.4868
-3.5900 -0.3085 -2.4008
-1.4123 -3.1207 2.5129
Hf Zn F Tc
1 2 1 1
Cartesian
-3.4559 -0.2813 1.2995
-0.7062 -1.5603 1.2565
-0.9547 1.4333 1.2434
0.0000 0.0000 0.0000
-1.7950 -0.1543 -1.2004
```